1:
A PBEsol-optimized structure of Ba2NaH2, computed with meta-GGA SCAN.

abc: 7.966 7.966 3.886
angles: 90.00 90.00 90.00
Element x y z (fractional)
Ba 0.166 0.334 0.000
Ba 0.334 0.834 0.000
Ba 0.666 0.166 0.000
Ba 0.834 0.666 0.000
Na 0.000 0.000 0.500
Na 0.500 0.500 0.500
H 0.134 0.634 0.500
H 0.366 0.134 0.500
H 0.634 0.866 0.500
H 0.866 0.366 0.500

Output
As for the calculated volume: 24.66 Å³ per atom. The density is 4036 kg/m3. As for the space group: P4/mbm (127).

2:
A PBEsol-optimized structure of Ba2NaH2, computed with meta-GGA SCAN.

abc: 4.431 4.431 15.776
angles: 90.00 90.00 90.00
Element x y z (fractional)
Ba 0.000 0.000 0.164
Ba 0.000 0.000 0.836
Ba 0.500 0.500 0.336
Ba 0.500 0.500 0.664
Na 0.000 0.000 0.500
Na 0.500 0.500 0.000
H 0.000 0.500 0.250
H 0.000 0.500 0.750
H 0.500 0.000 0.250
H 0.500 0.000 0.750

Output
As for the calculated volume: 30.98 Å³ per atom. The density is 3213 kg/m3. As for the space group: I4/mmm (139).

Top of the stability list: 2, leading by 278 meV per atom.

1:
A PBEsol-optimized structure of BaH4O6, computed with meta-GGA SCAN.

abc: 5.909 5.909 9.023
angles: 106.33 106.33 49.05
Element x y z (fractional)
Ba 0.124 0.876 0.750
Ba 0.876 0.124 0.250
H 0.202 0.449 0.189
H 0.265 0.395 0.017
H 0.395 0.265 0.517
H 0.449 0.202 0.689
H 0.551 0.798 0.311
H 0.605 0.735 0.483
H 0.735 0.605 0.983
H 0.798 0.551 0.811
O 0.003 0.283 0.574
O 0.143 0.431 0.357
O 0.256 0.514 0.122
O 0.283 0.003 0.074
O 0.431 0.143 0.857
O 0.486 0.744 0.378
O 0.514 0.256 0.622
O 0.569 0.857 0.143
O 0.717 0.997 0.926
O 0.744 0.486 0.878
O 0.857 0.569 0.643
O 0.997 0.717 0.426

Output
As for the calculated volume: 10.29 Å³ per atom. The density is 3483 kg/m3. As for the space group: C2/c (15).

2:
A PBEsol-optimized structure of BaH4O6, computed with meta-GGA SCAN.

abc: 6.104 6.570 7.069
angles: 74.89 74.84 84.60
Element x y z (fractional)
Ba 0.000 0.000 0.000
Ba 0.315 0.591 0.547
H 0.209 0.506 0.027
H 0.298 0.121 0.475
H 0.412 0.671 0.926
H 0.557 0.028 0.727
H 0.609 0.801 0.045
H 0.826 0.812 0.564
H 0.839 0.453 0.656
H 0.852 0.489 0.881
O 0.180 0.285 0.188
O 0.252 0.645 0.925
O 0.288 0.013 0.612
O 0.302 0.319 0.303
O 0.308 0.908 0.221
O 0.399 0.126 0.712
O 0.535 0.887 0.209
O 0.669 0.728 0.920
O 0.745 0.911 0.751
O 0.762 0.543 0.518
O 0.892 0.737 0.448
O 0.930 0.389 0.801

Output
As for the calculated volume: 12.00 Å³ per atom. The density is 2985 kg/m3. As for the space group: P1 (1).

Top of the stability list: 1, leading by 93 meV per atom.

1:
A PBEsol-optimized structure of BaP2H4O8, computed with meta-GGA SCAN.

abc: 7.638 10.538 8.546
angles: 90.00 90.00 90.00
Element x y z (fractional)
Ba 0.250 0.250 0.104
Ba 0.250 0.250 0.604
Ba 0.750 0.750 0.396
Ba 0.750 0.750 0.896
P 0.075 0.578 0.208
P 0.075 0.922 0.708
P 0.425 0.578 0.708
P 0.425 0.922 0.208
P 0.575 0.078 0.792
P 0.575 0.422 0.292
P 0.925 0.078 0.292
P 0.925 0.422 0.792
H 0.088 0.578 0.702
H 0.088 0.922 0.202
H 0.179 0.615 0.459
H 0.179 0.885 0.959
H 0.321 0.615 0.959
H 0.321 0.885 0.459
H 0.412 0.578 0.202
H 0.412 0.922 0.702
H 0.588 0.078 0.298
H 0.588 0.422 0.798
H 0.679 0.115 0.541
H 0.679 0.385 0.041
H 0.821 0.115 0.041
H 0.821 0.385 0.541
H 0.912 0.078 0.798
H 0.912 0.422 0.298
O 0.034 0.066 0.743
O 0.034 0.434 0.243
O 0.079 0.145 0.365
O 0.079 0.355 0.865
O 0.096 0.647 0.372
O 0.096 0.853 0.872
O 0.247 0.576 0.117
O 0.247 0.924 0.617
O 0.253 0.576 0.617
O 0.253 0.924 0.117
O 0.404 0.647 0.872
O 0.404 0.853 0.372
O 0.421 0.145 0.865
O 0.421 0.355 0.365
O 0.466 0.066 0.243
O 0.466 0.434 0.743
O 0.534 0.566 0.257
O 0.534 0.934 0.757
O 0.579 0.645 0.635
O 0.579 0.855 0.135
O 0.596 0.147 0.628
O 0.596 0.353 0.128
O 0.747 0.076 0.883
O 0.747 0.424 0.383
O 0.753 0.076 0.383
O 0.753 0.424 0.883
O 0.904 0.147 0.128
O 0.904 0.353 0.628
O 0.921 0.645 0.135
O 0.921 0.855 0.635
O 0.966 0.566 0.757
O 0.966 0.934 0.257

Output
As for the calculated volume: 11.46 Å³ per atom. The density is 3199 kg/m3. As for the space group: Pccn (56).

2:
A PBEsol-optimized structure of BaP2H4O8, computed with meta-GGA SCAN.

abc: 7.286 7.291 7.822
angles: 103.42 93.26 104.91
Element x y z (fractional)
Ba 0.226 0.288 0.129
Ba 0.774 0.712 0.871
P 0.246 0.745 0.918
P 0.337 0.234 0.597
P 0.663 0.766 0.403
P 0.754 0.255 0.082
H 0.159 0.386 0.768
H 0.403 0.910 0.738
H 0.413 0.788 0.183
H 0.500 0.000 0.500
H 0.500 0.500 0.500
H 0.587 0.212 0.817
H 0.597 0.090 0.262
H 0.841 0.614 0.232
O 0.100 0.557 0.811
O 0.156 0.906 0.988
O 0.216 0.261 0.757
O 0.225 0.171 0.418
O 0.352 0.682 0.070
O 0.419 0.816 0.813
O 0.442 0.077 0.634
O 0.500 0.429 0.624
O 0.500 0.571 0.376
O 0.558 0.923 0.366
O 0.581 0.184 0.187
O 0.648 0.318 0.930
O 0.775 0.829 0.582
O 0.784 0.739 0.243
O 0.844 0.094 0.012
O 0.900 0.443 0.189

Output
As for the calculated volume: 12.92 Å³ per atom. The density is 2839 kg/m3. As for the space group: P-1 (2).

Top of the stability list: 1, leading by 35 meV per atom.

1:
A PBEsol-optimized structure of RbBa2H, computed with meta-GGA SCAN.

abc: 8.508 8.508 11.011
angles: 90.00 90.00 90.00
Element x y z (fractional)
Rb 0.000 0.000 0.000
Rb 0.000 0.500 0.250
Rb 0.500 0.000 0.750
Rb 0.500 0.500 0.500
Ba 0.079 0.250 0.625
Ba 0.250 0.579 0.875
Ba 0.250 0.921 0.375
Ba 0.421 0.250 0.125
Ba 0.579 0.750 0.125
Ba 0.750 0.079 0.375
Ba 0.750 0.421 0.875
Ba 0.921 0.750 0.625
H 0.000 0.000 0.500
H 0.000 0.500 0.750
H 0.500 0.000 0.250
H 0.500 0.500 0.000

Output
As for the calculated volume: 49.82 Å³ per atom. The density is 3009 kg/m3. As for the space group: I-42d (122).

2:
A PBEsol-optimized structure of RbBa2H, computed with meta-GGA SCAN.

abc: 9.105 9.105 9.105
angles: 90.00 90.00 90.00
Element x y z (fractional)
Rb 0.000 0.000 0.000
Rb 0.000 0.500 0.500
Rb 0.500 0.000 0.500
Rb 0.500 0.500 0.000
Ba 0.250 0.250 0.250
Ba 0.250 0.250 0.750
Ba 0.250 0.750 0.250
Ba 0.250 0.750 0.750
Ba 0.750 0.250 0.250
Ba 0.750 0.250 0.750
Ba 0.750 0.750 0.250
Ba 0.750 0.750 0.750
H 0.000 0.000 0.500
H 0.000 0.500 0.000
H 0.500 0.000 0.000
H 0.500 0.500 0.500

Output
As for the calculated volume: 47.17 Å³ per atom. The density is 3178 kg/m3. As for the space group: Fm-3m (225).

Top of the stability list: 1, leading by 669 meV per atom.

1:
A PBEsol-optimized structure of BaMn2Hg, computed with meta-GGA SCAN.

abc: 7.111 7.111 7.111
angles: 90.00 90.00 90.00
Element x y z (fractional)
Ba 0.000 0.000 0.000
Ba 0.000 0.500 0.500
Ba 0.500 0.000 0.500
Ba 0.500 0.500 0.000
Mn 0.250 0.250 0.250
Mn 0.250 0.250 0.750
Mn 0.250 0.750 0.250
Mn 0.250 0.750 0.750
Mn 0.750 0.250 0.250
Mn 0.750 0.250 0.750
Mn 0.750 0.750 0.250
Mn 0.750 0.750 0.750
Hg 0.000 0.000 0.500
Hg 0.000 0.500 0.000
Hg 0.500 0.000 0.000
Hg 0.500 0.500 0.500

Output
As for the calculated volume: 22.48 Å³ per atom. The density is 8271 kg/m3. As for the space group: Fm-3m (225).

2:
A PBEsol-optimized structure of BaMn2Hg, computed with meta-GGA SCAN.

abc: 6.371 10.569 3.191
angles: 90.00 118.66 90.00
Element x y z (fractional)
Ba 0.000 0.000 0.000
Ba 0.500 0.500 0.000
Mn 0.250 0.250 0.500
Mn 0.250 0.750 0.500
Mn 0.750 0.250 0.500
Mn 0.750 0.750 0.500
Hg 0.000 0.500 0.000
Hg 0.500 0.000 0.000

Output
As for the calculated volume: 23.57 Å³ per atom. The density is 7888 kg/m3. As for the space group: C2/m (12).

Top of the stability list: 1, leading by 144 meV per atom.

1:
A PBEsol-optimized structure of Ba2HgPb, computed with meta-GGA SCAN.

abc: 4.142 5.769 5.998
angles: 90.00 90.00 90.00
Element x y z (fractional)
Ba 0.000 0.000 0.000
Ba 0.000 0.500 0.439
Hg 0.500 0.000 0.518
Pb 0.500 0.500 0.919

Output
As for the calculated volume: 35.83 Å³ per atom. The density is 7907 kg/m3. As for the space group: Pmm2 (25).

2:
A PBEsol-optimized structure of Ba2HgPb, computed with meta-GGA SCAN.

abc: 8.344 8.344 8.344
angles: 90.00 90.00 90.00
Element x y z (fractional)
Ba 0.250 0.250 0.250
Ba 0.250 0.250 0.750
Ba 0.250 0.750 0.250
Ba 0.250 0.750 0.750
Ba 0.750 0.250 0.250
Ba 0.750 0.250 0.750
Ba 0.750 0.750 0.250
Ba 0.750 0.750 0.750
Hg 0.000 0.000 0.000
Hg 0.000 0.500 0.500
Hg 0.500 0.000 0.500
Hg 0.500 0.500 0.000
Pb 0.000 0.000 0.500
Pb 0.000 0.500 0.000
Pb 0.500 0.000 0.000
Pb 0.500 0.500 0.500

Output
As for the calculated volume: 36.31 Å³ per atom. The density is 7802 kg/m3. As for the space group: Fm-3m (225).

Top of the stability list: 2, leading by 61 meV per atom.

1:
A PBEsol-optimized structure of Rb3BaHg, computed with meta-GGA SCAN.

abc: 8.591 8.591 8.591
angles: 90.00 90.00 90.00
Element x y z (fractional)
Rb 0.000 0.000 0.500
Rb 0.000 0.500 0.000
Rb 0.500 0.000 0.000
Ba 0.000 0.000 0.000
Hg 0.500 0.500 0.500

Output
As for the calculated volume: 126.81 Å³ per atom. The density is 1556 kg/m3. As for the space group: Pm-3m (221).

2:
A PBEsol-optimized structure of Rb3BaHg, computed with meta-GGA SCAN.

abc: 6.918 6.918 6.918
angles: 90.00 90.00 90.00
Element x y z (fractional)
Rb 0.000 0.000 0.500
Rb 0.000 0.500 0.000
Rb 0.500 0.000 0.000
Ba 0.500 0.500 0.500
Hg 0.000 0.000 0.000

Output
As for the calculated volume: 66.22 Å³ per atom. The density is 2981 kg/m3. As for the space group: Pm-3m (221).

Top of the stability list: 2, leading by 477 meV per atom.

1:
A PBEsol-optimized structure of BaHg3Rh, computed with meta-GGA SCAN.

abc: 5.184 5.184 5.184
angles: 90.00 90.00 90.00
Element x y z (fractional)
Ba 0.000 0.000 0.000
Hg 0.000 0.500 0.500
Hg 0.500 0.000 0.500
Hg 0.500 0.500 0.000
Rh 0.500 0.500 0.500

Output
As for the calculated volume: 27.86 Å³ per atom. The density is 10036 kg/m3. As for the space group: Pm-3m (221).

2:
A PBEsol-optimized structure of BaHg3Rh, computed with meta-GGA SCAN.

abc: 6.008 6.008 6.008
angles: 90.00 90.00 90.00
Element x y z (fractional)
Ba 0.000 0.000 0.000
Hg 0.000 0.000 0.500
Hg 0.000 0.500 0.000
Hg 0.500 0.000 0.000
Rh 0.500 0.500 0.500

Output
As for the calculated volume: 43.38 Å³ per atom. The density is 6447 kg/m3. As for the space group: Pm-3m (221).

Top of the stability list: 1, leading by 1433 meV per atom.

1:
A PBEsol-optimized structure of BaSrHg, computed with meta-GGA SCAN.

abc: 4.047 4.047 14.456
angles: 90.00 90.00 90.00
Element x y z (fractional)
Ba 0.000 0.000 0.000
Ba 0.500 0.500 0.500
Sr 0.000 0.000 0.735
Sr 0.500 0.500 0.235
Hg 0.000 0.000 0.358
Hg 0.500 0.500 0.858

Output
As for the calculated volume: 39.46 Å³ per atom. The density is 5969 kg/m3. As for the space group: I4mm (107).

2:
A PBEsol-optimized structure of BaSrHg, computed with meta-GGA SCAN.

abc: 7.807 7.807 7.807
angles: 90.00 90.00 90.00
Element x y z (fractional)
Ba 0.000 0.000 0.000
Ba 0.000 0.500 0.500
Ba 0.500 0.000 0.500
Ba 0.500 0.500 0.000
Sr 0.250 0.250 0.250
Sr 0.250 0.750 0.750
Sr 0.750 0.250 0.750
Sr 0.750 0.750 0.250
Hg 0.250 0.250 0.750
Hg 0.250 0.750 0.250
Hg 0.750 0.250 0.250
Hg 0.750 0.750 0.750

Output
As for the calculated volume: 39.65 Å³ per atom. The density is 5940 kg/m3. As for the space group: F-43m (216).

Top of the stability list: 1, leading by 602 meV per atom.

1:
A PBEsol-optimized structure of Ba2TcHg, computed with meta-GGA SCAN.

abc: 7.538 7.538 7.538
angles: 90.00 90.00 90.00
Element x y z (fractional)
Ba 0.000 0.000 0.000
Ba 0.000 0.500 0.500
Ba 0.250 0.250 0.250
Ba 0.250 0.750 0.750
Ba 0.500 0.000 0.500
Ba 0.500 0.500 0.000
Ba 0.750 0.250 0.750
Ba 0.750 0.750 0.250
Tc 0.250 0.250 0.750
Tc 0.250 0.750 0.250
Tc 0.750 0.250 0.250
Tc 0.750 0.750 0.750
Hg 0.000 0.000 0.500
Hg 0.000 0.500 0.000
Hg 0.500 0.000 0.000
Hg 0.500 0.500 0.500

Output
As for the calculated volume: 26.77 Å³ per atom. The density is 8889 kg/m3. As for the space group: F-43m (216).

2:
A PBEsol-optimized structure of Ba2TcHg, computed with meta-GGA SCAN.

abc: 3.653 5.516 11.658
angles: 90.00 90.00 90.00
Element x y z (fractional)
Ba 0.000 0.000 0.000
Ba 0.000 0.500 0.196
Ba 0.500 0.000 0.696
Ba 0.500 0.500 0.500
Tc 0.000 0.000 0.455
Tc 0.500 0.500 0.955
Hg 0.000 0.500 0.780
Hg 0.500 0.000 0.280

Output
As for the calculated volume: 29.37 Å³ per atom. The density is 8104 kg/m3. As for the space group: Imm2 (44).

Top of the stability list: 2, leading by 159 meV per atom.

1:
A PBEsol-optimized structure of Ba2TcHg, computed with meta-GGA SCAN.

abc: 3.716 3.716 29.954
angles: 90.00 90.00 120.00
Element x y z (fractional)
Ba 0.000 0.000 0.240
Ba 0.000 0.000 0.760
Ba 0.333 0.667 0.427
Ba 0.333 0.667 0.906
Ba 0.667 0.333 0.094
Ba 0.667 0.333 0.573
Tc 0.000 0.000 0.500
Tc 0.333 0.667 0.167
Tc 0.667 0.333 0.833
Hg 0.000 0.000 0.000
Hg 0.333 0.667 0.667
Hg 0.667 0.333 0.333

Output
As for the calculated volume: 29.85 Å³ per atom. The density is 7973 kg/m3. As for the space group: R-3m (166).

2:
A PBEsol-optimized structure of Ba2TcHg, computed with meta-GGA SCAN.

abc: 4.712 4.786 11.684
angles: 90.00 90.00 90.00
Element x y z (fractional)
Ba 0.000 0.000 0.000
Ba 0.000 0.500 0.500
Ba 0.500 0.000 0.291
Ba 0.500 0.500 0.791
Tc 0.500 0.000 0.594
Tc 0.500 0.500 0.094
Hg 0.000 0.000 0.703
Hg 0.000 0.500 0.203

Output
As for the calculated volume: 32.94 Å³ per atom. The density is 7226 kg/m3. As for the space group: Amm2 (38).

Top of the stability list: 2, leading by 368 meV per atom.